Record 1
4
Lattice="0.000 3.587 3.587 3.587 0.000 3.587 3.587 3.587 0.000" Properties=species:S:1:pos:R:3 comment="LuNbSn2, relaxed, DFT PBE" total_energy_ev_per_cell=-21.66 pbc="T T T"
Lu 0.000 0.000 0.000
Nb 5.381 5.381 5.381
Sn 1.794 1.794 1.794
Sn 3.587 3.587 3.587

Record 2
4
Lattice="0.000 3.243 3.243 3.243 0.000 3.243 3.243 3.243 0.000" Properties=species:S:1:pos:R:3 comment="LuZnFeAs, relaxed, DFT PBE" e_above_lowest_polymorph_mev_per_atom=0 pbc="T T T"
Lu 0.000 0.000 0.000
Zn 4.865 4.865 4.865
Fe 3.243 3.243 3.243
As 1.622 1.622 1.622

Record 3
2
Lattice="3.781 0.000 0.000 -1.891 3.275 0.000 0.000 0.000 4.269" Properties=species:S:1:pos:R:3 comment="CdBr, relaxed, DFT PBE" total_energy_ev_per_cell=-3.03 pbc="T T T"
Cd 0.000 0.000 0.000
Br 0.000 2.183 2.135

Record 4
3
Lattice="0.000 3.880 3.880 3.880 0.000 3.880 3.880 3.880 0.000" Properties=species:S:1:pos:R:3 comment="KPrCd, relaxed, DFT PBE" total_energy_ev_per_cell=-5.04 pbc="T T T"
K 0.000 0.000 0.000
Pr 5.820 5.820 5.820
Cd 3.880 3.880 3.880

Record 5
24
Lattice="11.637 0.000 0.000 0.000 4.421 0.000 0.000 0.000 16.216" Properties=species:S:1:pos:R:3 comment="RbGdFeTe3, relaxed, DFT PBE" e_above_lowest_polymorph_mev_per_atom=15 pbc="T T T"
Rb 2.645 1.105 0.052
Rb 3.173 3.316 8.160
Rb 8.464 1.105 8.056
Rb 8.992 3.316 16.164
Gd 0.190 3.316 4.142
Gd 5.629 1.105 12.250
Gd 6.008 3.316 3.966
Gd 11.447 1.105 12.074
Fe 2.762 3.316 12.690
Fe 3.056 1.105 4.582
Fe 8.581 3.316 11.634
Fe 8.875 1.105 3.526
Te 0.570 3.316 14.140
Te 0.963 1.105 6.183
Te 2.752 1.105 11.111
Te 3.066 3.316 3.003
Te 4.856 3.316 14.291
Te 5.249 1.105 6.031
Te 6.388 3.316 10.185
Te 6.781 1.105 1.925
Te 8.571 1.105 13.213
Te 8.885 3.316 5.105
Te 10.675 3.316 10.033
Te 11.067 1.105 2.077

Record 6
10
Lattice="4.409 0.000 0.000 0.000 4.409 0.000 0.000 0.000 10.542" Properties=species:S:1:pos:R:3 comment="BaCu2Ge2, relaxed, DFT PBE" total_energy_ev_per_cell=-40.03 pbc="T T T"
Ba 1.102 1.102 2.599
Ba 3.307 3.307 7.943
Cu 1.102 1.102 6.570
Cu 1.102 3.307 0.000
Cu 3.307 1.102 0.000
Cu 3.307 3.307 3.972
Ge 1.102 1.102 9.295
Ge 1.102 3.307 5.271
Ge 3.307 1.102 5.271
Ge 3.307 3.307 1.247

Record 7
4
Lattice="0.000 2.815 2.815 2.815 0.000 2.815 2.815 2.815 0.000" Properties=species:S:1:pos:R:3 comment="FeCuSiNi, relaxed, DFT PBE" e_above_lowest_polymorph_mev_per_atom=82 pbc="T T T"
Fe 0.000 0.000 0.000
Cu 2.815 2.815 2.815
Si 1.407 1.407 1.407
Ni 4.222 4.222 4.222

Record 8
10
Lattice="9.224 -1.931 0.000 9.224 1.931 0.000 -1.613 0.000 8.065" Properties=species:S:1:pos:R:3 comment="Sm4I2BrNCl2, relaxed, DFT PBE" total_energy_ev_per_cell=-51.59 pbc="T T T"
Sm -0.456 0.000 2.406
Sm 6.071 0.000 3.475
Sm 10.764 0.000 4.590
Sm 17.291 0.000 5.659
I 2.724 0.000 2.420
I 14.112 0.000 5.645
Br 9.224 0.000 0.000
N 8.418 0.000 4.032
Cl 1.460 0.000 6.619
Cl 15.376 0.000 1.445

Repeat the eighth record exactly.
10
Lattice="9.224 -1.931 0.000 9.224 1.931 0.000 -1.613 0.000 8.065" Properties=species:S:1:pos:R:3 comment="Sm4I2BrNCl2, relaxed, DFT PBE" total_energy_ev_per_cell=-51.59 pbc="T T T"
Sm -0.456 0.000 2.406
Sm 6.071 0.000 3.475
Sm 10.764 0.000 4.590
Sm 17.291 0.000 5.659
I 2.724 0.000 2.420
I 14.112 0.000 5.645
Br 9.224 0.000 0.000
N 8.418 0.000 4.032
Cl 1.460 0.000 6.619
Cl 15.376 0.000 1.445